## Be2CdFeN (GGA-PBE)

Data for Be2CdFeN after structural relaxation.

Cell and atoms, written as POSCAR:
```
Be2CdFeN
1.0
4.026 0.000 0.000
0.000 4.026 0.000
0.000 0.000 5.060
Be Cd Fe N
2 1 1 1
Cartesian
0.000 2.013 0.000
2.013 0.000 0.000
0.000 0.000 2.530
0.000 0.000 0.000
2.013 2.013 2.530
```

Properties
Crystal system: tetragonal
Final energy (eV per atom): -3.2440
ΔE_f (raw) (meV per atom): 1787
D(E_F) (states/eV per cell): 2.85